Cu2AsO4: relaxed, GGA-PBE.

Geometry as CIF:
```
data_Cu2AsO4
_cell_length_a 5.5065
_cell_length_b 5.5065
_cell_length_c 6.3549
_cell_angle_alpha 90.00
_cell_angle_beta 90.00
_cell_angle_gamma 90.00
_symmetry_space_group_name_H-M 'I -4 2 m'
_symmetry_Int_Tables_number 121
_symmetry_space_group_name_Hall 'I -4 2'
loop_
_atom_site_label
_atom_site_type_symbol
_atom_site_fract_x
_atom_site_fract_y
_atom_site_fract_z
Cu1 Cu 0.0000 0.5000 0.0000
As1 As 0.0000 0.0000 0.0000
O1 O 0.2069 0.2069 0.1062
```

The value obtained for the magnetization is 2.1 μB/cell. The value obtained for the energy above the lowest structure with this stoichiometry is 7.2 kJ per mole of atoms.

CuAs3O: relaxed, GGA-PBE.

Geometry as CIF:
```
data_CuAs3O
_cell_length_a 4.6571
_cell_length_b 4.6571
_cell_length_c 4.6571
_cell_angle_alpha 90.00
_cell_angle_beta 90.00
_cell_angle_gamma 90.00
_symmetry_space_group_name_H-M 'P m -3 m'
_symmetry_Int_Tables_number 221
_symmetry_space_group_name_Hall '-P 4 2 3'
loop_
_atom_site_label
_atom_site_type_symbol
_atom_site_fract_x
_atom_site_fract_y
_atom_site_fract_z
Cu1 Cu 0.0000 0.0000 0.0000
As1 As 0.0000 0.0000 0.5000
O1 O 0.5000 0.5000 0.5000
```

The value obtained for the magnetization is 1.9 μB/cell. The value obtained for the energy above the lowest structure with this stoichiometry is 54.4 kJ per mole of atoms.

Cu3AsO7: relaxed, GGA-PBE.

Geometry as CIF:
```
data_Cu3AsO7
_cell_length_a 5.4276
_cell_length_b 5.4465
_cell_length_c 5.6208
_cell_angle_alpha 118.40
_cell_angle_beta 90.05
_cell_angle_gamma 94.91
_symmetry_space_group_name_H-M 'P 1'
_symmetry_Int_Tables_number 1
loop_
_symmetry_equiv_pos_as_xyz
'x,y,z'
loop_
_atom_site_label
_atom_site_type_symbol
_atom_site_fract_x
_atom_site_fract_y
_atom_site_fract_z
Cu1 Cu 0.0000 0.0000 0.0000
Cu2 Cu 0.0030 0.0042 0.4998
Cu3 Cu 0.5074 0.9755 0.7307
As1 As 0.5210 0.6251 0.0915
O1 O 0.1737 0.1634 0.3231
O2 O 0.2101 0.1386 0.8146
O3 O 0.3623 0.6717 0.8615
O4 O 0.3648 0.6972 0.3803
O5 O 0.6781 0.3270 0.9785
O6 O 0.7757 0.9022 0.2085
O7 O 0.8166 0.8355 0.6691
```

The value obtained for the magnetization is 0.1 μB/cell. The total energy comes out at -5.28 eV per atom.

CuAs3O: relaxed, GGA-PBE.

Geometry as CIF:
```
data_CuAs3O
_cell_length_a 4.3674
_cell_length_b 4.3674
_cell_length_c 4.3674
_cell_angle_alpha 90.00
_cell_angle_beta 90.00
_cell_angle_gamma 90.00
_symmetry_space_group_name_H-M 'P m -3 m'
_symmetry_Int_Tables_number 221
_symmetry_space_group_name_Hall '-P 4 2 3'
loop_
_atom_site_label
_atom_site_type_symbol
_atom_site_fract_x
_atom_site_fract_y
_atom_site_fract_z
Cu1 Cu 0.0000 0.0000 0.0000
As1 As 0.0000 0.5000 0.5000
O1 O 0.5000 0.5000 0.5000
```

The value obtained for the magnetization is 0.0 μB/cell. The value obtained for the energy above the lowest structure with this stoichiometry is 0.0 kJ per mole of atoms.

Q: The lowest magnetization belongs to which entry?
A: number 4